# 1
This record from Alexandria via LeMat-Bulk describes a geometry-optimized KCeF4 structure. The functional is PBE.

Cell and atoms, written as extended XYZ:
```
24
Lattice="6.368 0.000 0.000 0.000 3.794 0.000 0.000 0.000 15.844" Properties=species:S:1:pos:R:3 pbc="T T T"
K 1.405 0.949 3.199
K 1.779 2.846 11.121
K 4.589 0.949 4.723
K 4.963 2.846 12.645
Ce 1.580 2.846 6.946
Ce 1.604 0.949 14.868
Ce 4.764 2.846 0.976
Ce 4.788 0.949 8.898
F 0.028 0.949 0.937
F 0.582 0.949 12.774
F 0.647 0.949 5.772
F 0.869 0.949 8.493
F 2.315 2.846 0.571
F 2.537 2.846 13.694
F 2.602 2.846 4.852
F 3.156 2.846 8.859
F 3.212 0.949 6.985
F 3.766 0.949 10.992
F 3.831 0.949 2.150
F 4.053 0.949 15.273
F 5.499 2.846 7.351
F 5.721 2.846 10.072
F 5.786 2.846 3.070
F 6.340 2.846 14.907
```

Output
* space group: No. 62
* raw formation energy: -3627 meV/atom

***

# 2
This record from Alexandria via LeMat-Bulk describes a geometry-optimized CaPrAlHg structure. The functional is PBE.

Cell and atoms, written as extended XYZ:
```
4
Lattice="0.000 3.798 3.798 3.798 0.000 3.798 3.798 3.798 0.000" Properties=species:S:1:pos:R:3 pbc="T T T"
Ca 0.000 0.000 0.000
Pr 3.798 3.798 3.798
Al 1.899 1.899 1.899
Hg 5.697 5.697 5.697
```

Output
* energy of formation: -0.4000 eV/atom
* space group: No. 216

***

# 3
This record from Alexandria via LeMat-Bulk describes a geometry-optimized RbAc2Er structure. The functional is PBE.

Cell and atoms, written as extended XYZ:
```
4
Lattice="1.952 1.127 14.037 -1.952 1.127 14.037 0.000 -2.254 14.037" Properties=species:S:1:pos:R:3 pbc="T T T"
Rb 0.000 0.000 0.000
Ac 0.000 0.000 4.099
Ac 0.000 0.000 38.012
Er 0.000 0.000 21.055
```

Output
* energy of formation: 0.2097 eV/atom
* space group: No. 166

***

# 4
This record from Alexandria via LeMat-Bulk describes a geometry-optimized Na2SrNi structure. The functional is PBE.

Cell and atoms, written as extended XYZ:
```
8
Lattice="-2.179 2.179 12.144 2.179 -2.179 12.144 2.179 2.179 -12.144" Properties=species:S:1:pos:R:3 pbc="T T T"
Na 3.268 0.938 -3.036
Na 0.938 1.089 3.036
Na -1.089 1.240 9.108
Na 1.240 1.089 15.180
Sr 2.179 0.000 6.072
Sr 0.000 0.000 12.144
Ni 0.000 0.000 0.000
Ni 0.000 2.179 6.072
```

Output
* excess energy over the best structure of this formula in the dataset: 0 meV per atom
* energy of formation: 0.3248 eV/atom
* space group: No. 122

***

# 5
This record from Alexandria via LeMat-Bulk describes a geometry-optimized Tl2AgPb structure. The functional is PBE.

Cell and atoms, written as extended XYZ:
```
4
Lattice="3.745 0.000 0.000 0.000 5.194 0.000 0.000 0.000 5.680" Properties=species:S:1:pos:R:3 pbc="T T T"
Tl 0.000 0.000 0.000
Tl 1.872 2.597 0.000
Ag 0.000 2.597 2.840
Pb 1.872 0.000 2.840
```

Output
* energy of formation: 0.1246 eV/atom
* space group: No. 47

***

# 6
This record from Alexandria via LeMat-Bulk describes a geometry-optimized AcEuHgRu structure. The functional is PBE.

Cell and atoms, written as extended XYZ:
```
4
Lattice="0.000 3.767 3.767 3.767 0.000 3.767 3.767 3.767 0.000" Properties=species:S:1:pos:R:3 pbc="T T T"
Ac 0.000 0.000 0.000
Eu 3.767 3.767 3.767
Hg 1.884 1.884 1.884
Ru 5.651 5.651 5.651
```

Output
* energy of formation: -0.1144 eV/atom
* space group: No. 216

***

# 7
This record from Alexandria via LeMat-Bulk describes a geometry-optimized K2Ba2Pt structure. The functional is PBE.

Cell and atoms, written as extended XYZ:
```
5
Lattice="2.322 1.341 15.090 -2.322 1.341 15.090 0.000 -2.681 15.090" Properties=species:S:1:pos:R:3 pbc="T T T"
K 0.000 0.000 5.616
K 0.000 0.000 39.654
Ba 0.000 0.000 16.760
Ba 0.000 0.000 28.510
Pt 0.000 0.000 0.000
```

Output
* excess energy over the best structure of this formula in the dataset: 0 meV per atom
* energy of formation: -0.3804 eV/atom
* space group: No. 166

***

# 8
This record from Alexandria via LeMat-Bulk describes a geometry-optimized TlInHPb2 structure. The functional is PBE.

Cell and atoms, written as extended XYZ:
```
5
Lattice="4.955 0.000 0.000 0.000 4.955 0.000 0.000 0.000 5.151" Properties=species:S:1:pos:R:3 pbc="T T T"
Tl 0.000 0.000 0.000
In 2.477 2.477 0.000
H 0.000 0.000 2.576
Pb 0.000 2.477 2.576
Pb 2.477 0.000 2.576
```

Output
* space group: No. 123
* VASP energy: -2.98 eV per atom

***

# 9
This record from Alexandria via LeMat-Bulk describes a geometry-optimized CsSnPt2 structure. The functional is PBE.

Cell and atoms, written as extended XYZ:
```
8
Lattice="-4.009 4.009 4.049 4.009 -4.009 4.049 4.009 4.009 -4.049" Properties=species:S:1:pos:R:3 pbc="T T T"
Cs 0.000 0.000 0.000
Cs 0.000 4.009 2.025
Sn 4.009 0.000 2.025
Sn 0.000 0.000 4.049
Pt 2.004 -1.242 3.037
Pt 2.767 2.004 1.012
Pt 2.004 5.251 -1.012
Pt 1.242 2.004 5.062
```

Output
* energy of formation: 0.0919 eV/atom
* space group: No. 122

***

# 10
This record from Alexandria via LeMat-Bulk describes a geometry-optimized MgTaSe2 structure. The functional is PBE.

Cell and atoms, written as extended XYZ:
```
4
Lattice="-1.722 1.746 6.390 1.722 -1.746 6.390 1.722 1.746 -6.390" Properties=species:S:1:pos:R:3 pbc="T T T"
Mg 0.000 0.000 0.000
Ta 0.000 1.746 3.062
Se 1.722 0.000 4.194
Se 0.000 0.000 7.472
```

Output
* space group: No. 44
* raw formation energy: -550 meV/atom

***

# 11
This record from Alexandria via LeMat-Bulk describes a geometry-optimized SrAg2S structure. The functional is PBE.

Cell and atoms, written as extended XYZ:
```
8
Lattice="-2.028 2.028 12.213 2.028 -2.028 12.213 2.028 2.028 -12.213" Properties=species:S:1:pos:R:3 pbc="T T T"
Sr 0.000 0.000 0.000
Sr 0.000 2.028 6.106
Ag 1.014 -1.007 9.160
Ag 1.022 1.014 3.053
Ag 1.014 3.035 -3.053
Ag 1.007 1.014 15.266
S 2.028 0.000 6.106
S 0.000 0.000 12.213
```

Output
* space group: No. 122
* raw formation energy: -582 meV/atom

***

# 12
This record from Alexandria via LeMat-Bulk describes a geometry-optimized KCaInBr6 structure. The functional is PBE.

Cell and atoms, written as extended XYZ:
```
18
Lattice="7.345 0.000 0.000 -3.672 6.361 0.000 0.000 0.000 14.344" Properties=species:S:1:pos:R:3 pbc="T T T"
K 0.000 0.000 0.000
K 0.000 0.000 7.172
Ca 0.000 4.241 3.586
Ca 3.672 2.120 10.758
In 0.000 4.241 10.758
In 3.672 2.120 3.586
Br -1.249 2.411 9.162
Br -2.209 4.074 12.354
Br 1.249 2.411 12.354
Br -0.960 6.238 9.162
Br 2.712 0.123 1.990
Br 1.463 2.287 5.182
Br 2.209 4.074 9.162
Br 0.960 6.238 12.354
Br 4.633 0.123 5.182
Br 2.423 3.950 1.990
Br 5.882 2.287 1.990
Br 4.922 3.950 5.182
```

Output
* space group: No. 163
* raw formation energy: -1440 meV/atom

***

The following magnetization values (in μB/f.u.) correspond, in order, to the records above: 1.000, 0.000, 0.000, 0.000, 0.000, 7.057, 0.000, 0.000, 0.000, 0.000, 0.000, 0.000.